This record from the Alexandria database describes a relaxed KPb2Au3 crystal. The functional is PBE-GGA.

The structure in POSCAR format:
```
KPb2Au3
1.0
7.243 0.295 0.000
-2.607 6.764 0.000
0.000 0.000 7.139
Pb Au K
4 6 2
direct
0.812 0.188 0.500
0.188 0.812 0.000
0.188 0.812 0.500
0.812 0.188 0.000
0.875 0.509 0.250
0.125 0.491 0.750
0.509 0.875 0.250
0.105 0.105 0.750
0.895 0.895 0.250
0.491 0.125 0.750
0.659 0.659 0.750
0.341 0.341 0.250
```

## Properties
Its energy relative to the elements is -169 meV per atom. For the density of states at the Fermi level, the calculation gives 1.9 states/eV/f.u. The space group is Cmcm. Its electronic total energy is -3.227 eV per atom. For the total magnetization, the calculation gives 0.0 μB per cell.